Record 1
The following is a PBE calculation of a relaxed structure of LiTe2F8, from the Alexandria database.

* Fermi-level density of states: 0.2429 states/eV per atom
* calculated total energy: -4.057 eV/atom
* M_tot: 0.64 Bohr magnetons per cell

Cell lengths 6.536, 6.536, 4.789 Å; angles 90.00, 90.00, 120.00 degrees
Sites, in units of the cell vectors:
Li  0.000  0.000  0.000
Te  0.333  0.667  0.773
Te  0.667  0.333  0.227
F  0.156  0.312  0.762
F  0.156  0.844  0.762
F  0.312  0.156  0.238
F  0.333  0.667  0.332
F  0.667  0.333  0.668
F  0.688  0.844  0.762
F  0.844  0.156  0.238
F  0.844  0.688  0.238

***

Record 2
The following is a PBE calculation of a relaxed structure of K3Hg2Sb3, from the Alexandria database.

* Fermi-level density of states: 0.1358 states/eV per atom
* calculated total energy: -2.382 eV/atom
* M_tot: 0.00 Bohr magnetons per cell

Cell lengths 6.578, 6.578, 17.012 Å; angles 90.00, 90.00, 133.16 degrees
Sites, in units of the cell vectors:
K  0.089  0.911  0.619
K  0.089  0.911  0.881
K  0.382  0.618  0.750
K  0.618  0.382  0.250
K  0.911  0.089  0.119
K  0.911  0.089  0.381
Hg  0.207  0.793  0.099
Hg  0.207  0.793  0.401
Hg  0.793  0.207  0.599
Hg  0.793  0.207  0.901
Sb  0.317  0.683  0.250
Sb  0.385  0.615  0.528
Sb  0.385  0.615  0.972
Sb  0.615  0.385  0.028
Sb  0.615  0.385  0.472
Sb  0.683  0.317  0.750

***

Record 3
The following is a PBE calculation of a relaxed structure of K6RbNa2, from the Alexandria database.

* excess energy over the best structure of this formula in the dataset: 0.000 eV per atom
* Fermi-level density of states: 0.6972 states/eV per atom
* calculated total energy: -1.110 eV/atom
* M_tot: 0.00 Bohr magnetons per cell
* energy of formation: 0.022 eV/atom

Cell lengths 11.650, 11.650, 11.650 Å; angles 112.86, 112.39, 103.34 degrees
Sites, in units of the cell vectors:
K  0.024  0.811  0.213
K  0.246  0.529  0.284
K  0.246  0.962  0.716
K  0.286  0.302  0.588
K  0.286  0.698  0.984
K  0.402  0.189  0.213
K  0.598  0.811  0.787
K  0.714  0.302  0.016
K  0.714  0.698  0.412
K  0.754  0.038  0.284
K  0.754  0.471  0.716
K  0.976  0.189  0.787
Rb  0.000  0.500  0.500
Rb  0.500  0.000  0.500
Na  0.000  0.138  0.138
Na  0.000  0.862  0.862
Na  0.381  0.381  0.000
Na  0.619  0.619  0.000

***

Record 4
The following is a PBE calculation of a relaxed structure of ThCdCu2, from the Alexandria database.

* Fermi-level density of states: 0.8954 states/eV per atom
* calculated total energy: -4.234 eV/atom
* M_tot: 0.00 Bohr magnetons per cell
* energy of formation: -0.102 eV/atom

Cell lengths 6.361, 4.523, 11.082 Å; angles 90.00, 90.00, 90.00 degrees
Sites, in units of the cell vectors:
Th  0.250  0.250  0.167
Th  0.250  0.750  0.667
Th  0.750  0.250  0.333
Th  0.750  0.750  0.833
Cd  0.249  0.250  0.458
Cd  0.251  0.750  0.958
Cd  0.749  0.250  0.042
Cd  0.751  0.750  0.542
Cu  0.057  0.250  0.860
Cu  0.058  0.750  0.359
Cu  0.442  0.250  0.859
Cu  0.443  0.750  0.360
Cu  0.557  0.250  0.640
Cu  0.558  0.750  0.141
Cu  0.942  0.250  0.641
Cu  0.943  0.750  0.140